(1)
DFT (PBE-GGA) results for crystalline Sn3SbPb at its relaxed geometry.

Results
Its density is 6.0 g/cm3. Its space-group type is No. 221. For the density of states at the Fermi level, the calculation gives 2.371 states/eV per cell. For the total energy, the calculation gives -0.2355 Ry/atom. For the offset from the most stable computed form, the calculation gives 195 meV per atom. The value obtained for the formation energy from raw total energies is 0.764 eV/atom.

The structure in CIF format:
```
data_Sn3SbPb
_symmetry_space_group_name_H-M 'P 1'
_symmetry_Int_Tables_number 1
_cell_length_a 5.7564
_cell_length_b 5.7564
_cell_length_c 5.7564
_cell_angle_alpha 90.00
_cell_angle_beta 90.00
_cell_angle_gamma 90.00
loop_
_symmetry_equiv_pos_as_xyz
'x,y,z'
loop_
_atom_site_label
_atom_site_type_symbol
_atom_site_fract_x
_atom_site_fract_y
_atom_site_fract_z
Sn1 Sn 0.0000 0.0000 0.5000
Sn2 Sn 0.0000 0.5000 0.0000
Sn3 Sn 0.5000 0.0000 0.0000
Sb1 Sb 0.5000 0.5000 0.5000
Pb1 Pb 0.0000 0.0000 0.0000
```


(2)
DFT (PBE-GGA) results for crystalline SnSb3Pb at its relaxed geometry.

Results
Its density is 6.4 g/cm3. Its space-group type is No. 221. For the density of states at the Fermi level, the calculation gives 7.155 states/eV per cell. For the total energy, the calculation gives -0.2483 Ry/atom. For the offset from the most stable computed form, the calculation gives 0 meV per atom. The value obtained for the formation energy from raw total energies is 0.638 eV/atom.

The structure in CIF format:
```
data_SnSb3Pb
_symmetry_space_group_name_H-M 'P 1'
_symmetry_Int_Tables_number 1
_cell_length_a 5.6517
_cell_length_b 5.6517
_cell_length_c 5.6517
_cell_angle_alpha 90.00
_cell_angle_beta 90.00
_cell_angle_gamma 90.00
loop_
_symmetry_equiv_pos_as_xyz
'x,y,z'
loop_
_atom_site_label
_atom_site_type_symbol
_atom_site_fract_x
_atom_site_fract_y
_atom_site_fract_z
Sn1 Sn 0.0000 0.0000 0.0000
Sb1 Sb 0.0000 0.0000 0.5000
Sb2 Sb 0.0000 0.5000 0.0000
Sb3 Sb 0.5000 0.0000 0.0000
Pb1 Pb 0.5000 0.5000 0.5000
```


(3)
DFT (PBE-GGA) results for crystalline Sn4SbPb at its relaxed geometry.

Results
Its density is 7.6 g/cm3. Its space-group type is No. 216. For the density of states at the Fermi level, the calculation gives 4.010 states/eV per cell. For the total energy, the calculation gives -0.2783 Ry/atom. The value obtained for the formation energy from raw total energies is 0.187 eV/atom.

The structure in CIF format:
```
data_Sn4SbPb
_symmetry_space_group_name_H-M 'P 1'
_symmetry_Int_Tables_number 1
_cell_length_a 6.2885
_cell_length_b 6.2885
_cell_length_c 6.2885
_cell_angle_alpha 60.00
_cell_angle_beta 60.00
_cell_angle_gamma 60.00
loop_
_symmetry_equiv_pos_as_xyz
'x,y,z'
loop_
_atom_site_label
_atom_site_type_symbol
_atom_site_fract_x
_atom_site_fract_y
_atom_site_fract_z
Sn1 Sn 0.1247 0.1247 0.1247
Sn2 Sn 0.1247 0.1247 0.6259
Sn3 Sn 0.1247 0.6259 0.1247
Sn4 Sn 0.6259 0.1247 0.1247
Sb1 Sb 0.7500 0.7500 0.7500
Pb1 Pb 0.5000 0.5000 0.5000
```


(4)
DFT (PBE-GGA) results for crystalline Sn2SbPb at its relaxed geometry.

Results
Its density is 8.2 g/cm3. Its space-group type is No. 123. For the density of states at the Fermi level, the calculation gives 2.065 states/eV per cell. For the total energy, the calculation gives -0.2850 Ry/atom. For the offset from the most stable computed form, the calculation gives 6 meV per atom. The value obtained for the formation energy from raw total energies is 0.082 eV/atom.

The structure in CIF format:
```
data_Sn2SbPb
_symmetry_space_group_name_H-M 'P 1'
_symmetry_Int_Tables_number 1
_cell_length_a 3.7972
_cell_length_b 3.7972
_cell_length_c 7.9351
_cell_angle_alpha 90.00
_cell_angle_beta 90.00
_cell_angle_gamma 90.00
loop_
_symmetry_equiv_pos_as_xyz
'x,y,z'
loop_
_atom_site_label
_atom_site_type_symbol
_atom_site_fract_x
_atom_site_fract_y
_atom_site_fract_z
Sn1 Sn 0.0000 0.0000 0.2278
Sn2 Sn 0.0000 0.0000 0.7722
Sb1 Sb 0.5000 0.5000 0.0000
Pb1 Pb 0.5000 0.5000 0.5000
```


(5)
DFT (PBE-GGA) results for crystalline SnSb2Pb at its relaxed geometry.

Results
Its density is 8.4 g/cm3. Its space-group type is No. 225. For the density of states at the Fermi level, the calculation gives 2.656 states/eV per cell. For the total energy, the calculation gives -0.2839 Ry/atom. For the offset from the most stable computed form, the calculation gives 90 meV per atom. The value obtained for the formation energy from raw total energies is 0.127 eV/atom.

The structure in CIF format:
```
data_SnSb2Pb
_symmetry_space_group_name_H-M 'P 1'
_symmetry_Int_Tables_number 1
_cell_length_a 5.4304
_cell_length_b 5.4304
_cell_length_c 5.4304
_cell_angle_alpha 60.00
_cell_angle_beta 60.00
_cell_angle_gamma 60.00
loop_
_symmetry_equiv_pos_as_xyz
'x,y,z'
loop_
_atom_site_label
_atom_site_type_symbol
_atom_site_fract_x
_atom_site_fract_y
_atom_site_fract_z
Sn1 Sn 0.0000 0.0000 0.0000
Sb1 Sb 0.2500 0.2500 0.2500
Sb2 Sb 0.7500 0.7500 0.7500
Pb1 Pb 0.5000 0.5000 0.5000
```


(6)
DFT (PBE-GGA) results for crystalline SnSb3Pb at its relaxed geometry.

Results
Its density is 6.1 g/cm3. Its space-group type is No. 221. For the density of states at the Fermi level, the calculation gives 7.510 states/eV per cell. For the total energy, the calculation gives -0.2309 Ry/atom. For the offset from the most stable computed form, the calculation gives 237 meV per atom. The value obtained for the formation energy from raw total energies is 0.875 eV/atom.

The structure in CIF format:
```
data_SnSb3Pb
_symmetry_space_group_name_H-M 'P 1'
_symmetry_Int_Tables_number 1
_cell_length_a 5.7444
_cell_length_b 5.7444
_cell_length_c 5.7444
_cell_angle_alpha 90.00
_cell_angle_beta 90.00
_cell_angle_gamma 90.00
loop_
_symmetry_equiv_pos_as_xyz
'x,y,z'
loop_
_atom_site_label
_atom_site_type_symbol
_atom_site_fract_x
_atom_site_fract_y
_atom_site_fract_z
Sn1 Sn 0.0000 0.0000 0.0000
Sb1 Sb 0.0000 0.5000 0.5000
Sb2 Sb 0.5000 0.0000 0.5000
Sb3 Sb 0.5000 0.5000 0.0000
Pb1 Pb 0.5000 0.5000 0.5000
```


(7)
DFT (PBE-GGA) results for crystalline SnSbPb2 at its relaxed geometry.

Results
Its density is 8.5 g/cm3. Its space-group type is No. 139. For the density of states at the Fermi level, the calculation gives 1.816 states/eV per cell. For the total energy, the calculation gives -0.2767 Ry/atom. For the offset from the most stable computed form, the calculation gives 54 meV per atom. The value obtained for the formation energy from raw total energies is 0.121 eV/atom.

The structure in CIF format:
```
data_SnSbPb2
_symmetry_space_group_name_H-M 'P 1'
_symmetry_Int_Tables_number 1
_cell_length_a 5.4933
_cell_length_b 5.4933
_cell_length_c 5.4933
_cell_angle_alpha 109.33
_cell_angle_beta 109.33
_cell_angle_gamma 109.75
loop_
_symmetry_equiv_pos_as_xyz
'x,y,z'
loop_
_atom_site_label
_atom_site_type_symbol
_atom_site_fract_x
_atom_site_fract_y
_atom_site_fract_z
Sn1 Sn 0.0000 0.0000 0.0000
Sb1 Sb 0.5000 0.5000 0.0000
Pb1 Pb 0.0000 0.5000 0.5000
Pb2 Pb 0.5000 0.0000 0.5000
```


(8)
DFT (PBE-GGA) results for crystalline SnSbPb6 at its relaxed geometry.

Results
Its density is 9.5 g/cm3. Its space-group type is No. 2. For the density of states at the Fermi level, the calculation gives 4.299 states/eV per cell. For the total energy, the calculation gives -0.2725 Ry/atom. For the offset from the most stable computed form, the calculation gives 45 meV per atom. The value obtained for the formation energy from raw total energies is 0.090 eV/atom.

The structure in CIF format:
```
data_SnSbPb6
_symmetry_space_group_name_H-M 'P 1'
_symmetry_Int_Tables_number 1
_cell_length_a 6.6376
_cell_length_b 6.7190
_cell_length_c 6.7245
_cell_angle_alpha 70.48
_cell_angle_beta 71.44
_cell_angle_gamma 71.05
loop_
_symmetry_equiv_pos_as_xyz
'x,y,z'
loop_
_atom_site_label
_atom_site_type_symbol
_atom_site_fract_x
_atom_site_fract_y
_atom_site_fract_z
Sn1 Sn 0.0000 0.0000 0.0000
Sb1 Sb 0.5000 0.5000 0.5000
Pb1 Pb 0.0053 0.4913 0.7496
Pb2 Pb 0.2505 0.9876 0.5130
Pb3 Pb 0.4955 0.7491 0.0093
Pb4 Pb 0.5045 0.2509 0.9907
Pb5 Pb 0.7495 0.0124 0.4870
Pb6 Pb 0.9947 0.5087 0.2504
```